No. 1
# SrLi2PrSb2 PBE-GGA relaxed
data_SrLi2PrSb2
_chemical_formula_sum 'Sr1 Li2 Pr1 Sb2'
_cell_length_a 4.7220
_cell_length_b 4.7220
_cell_length_c 8.2925
_cell_angle_alpha 90.00
_cell_angle_beta 90.00
_cell_angle_gamma 120.00
_symmetry_space_group_name_H-M 'P 1'
_symmetry_Int_Tables_number 1
loop_
_symmetry_equiv_pos_as_xyz
'x,y,z'
loop_
_atom_site_label
_atom_site_type_symbol
_atom_site_fract_x
_atom_site_fract_y
_atom_site_fract_z
Sr1 Sr 0.0000 0.0000 0.0000
Li1 Li 0.3333 0.6667 0.7349
Li2 Li 0.6667 0.3333 0.2651
Pr1 Pr 0.0000 0.0000 0.5000
Sb1 Sb 0.3333 0.6667 0.2609
Sb2 Sb 0.6667 0.3333 0.7391
# ρ (g/cm³): 5.0
# Symmetry: P-3m1, No. 164
# Formation energy from raw total energies (eV per atom): -0.895
# Electronic total energy (eV/cell): -23.9

No. 2
# SrLi2Pr2Sb2 PBE-GGA relaxed
data_SrLi2Pr2Sb2
_chemical_formula_sum 'Sr1 Li2 Pr2 Sb2'
_cell_length_a 10.1048
_cell_length_b 10.1048
_cell_length_c 10.1048
_cell_angle_alpha 27.84
_cell_angle_beta 27.84
_cell_angle_gamma 27.84
_symmetry_space_group_name_H-M 'P 1'
_symmetry_Int_Tables_number 1
loop_
_symmetry_equiv_pos_as_xyz
'x,y,z'
loop_
_atom_site_label
_atom_site_type_symbol
_atom_site_fract_x
_atom_site_fract_y
_atom_site_fract_z
Sr1 Sr 0.0000 0.0000 0.0000
Li1 Li 0.4124 0.4124 0.4124
Li2 Li 0.5876 0.5876 0.5876
Pr1 Pr 0.1323 0.1323 0.1323
Pr2 Pr 0.8677 0.8677 0.8677
Sb1 Sb 0.2587 0.2587 0.2587
Sb2 Sb 0.7413 0.7413 0.7413
# ρ (g/cm³): 5.2
# Symmetry: R-3m, No. 166
# Formation energy from raw total energies (eV per atom): -0.627
# Electronic total energy (eV/cell): -27.7

No. 3
# Li2Tb2PrSb2 PBE-GGA relaxed
data_Li2Tb2PrSb2
_chemical_formula_sum 'Li2 Tb2 Pr1 Sb2'
_cell_length_a 9.4555
_cell_length_b 9.4555
_cell_length_c 9.4555
_cell_angle_alpha 29.22
_cell_angle_beta 29.22
_cell_angle_gamma 29.22
_symmetry_space_group_name_H-M 'P 1'
_symmetry_Int_Tables_number 1
loop_
_symmetry_equiv_pos_as_xyz
'x,y,z'
loop_
_atom_site_label
_atom_site_type_symbol
_atom_site_fract_x
_atom_site_fract_y
_atom_site_fract_z
Li1 Li 0.0895 0.0895 0.0895
Li2 Li 0.9105 0.9105 0.9105
Tb1 Tb 0.3689 0.3689 0.3689
Tb2 Tb 0.6311 0.6311 0.6311
Pr1 Pr 0.5000 0.5000 0.5000
Sb1 Sb 0.2394 0.2394 0.2394
Sb2 Sb 0.7606 0.7606 0.7606
# ρ (g/cm³): 6.7
# Symmetry: R-3m, No. 166
# Formation energy from raw total energies (eV per atom): -0.587
# Electronic total energy (eV/cell): -30.2

No. 4
# LiTbPrSb PBE-GGA relaxed
data_LiTbPrSb
_chemical_formula_sum 'Li1 Tb1 Pr1 Sb1'
_cell_length_a 5.3138
_cell_length_b 5.3138
_cell_length_c 5.3138
_cell_angle_alpha 60.00
_cell_angle_beta 60.00
_cell_angle_gamma 60.00
_symmetry_space_group_name_H-M 'P 1'
_symmetry_Int_Tables_number 1
loop_
_symmetry_equiv_pos_as_xyz
'x,y,z'
loop_
_atom_site_label
_atom_site_type_symbol
_atom_site_fract_x
_atom_site_fract_y
_atom_site_fract_z
Li1 Li 0.0000 0.0000 0.0000
Tb1 Tb 0.7500 0.7500 0.7500
Pr1 Pr 0.2500 0.2500 0.2500
Sb1 Sb 0.5000 0.5000 0.5000
# ρ (g/cm³): 6.7
# Symmetry: F-43m, No. 216
# Formation energy from raw total energies (eV per atom): -0.478
# Electronic total energy (eV/cell): -17.4

No. 5
# Li2TbPr2Sb2 PBE-GGA relaxed
data_Li2TbPr2Sb2
_chemical_formula_sum 'Li2 Tb1 Pr2 Sb2'
_cell_length_a 9.6646
_cell_length_b 9.6646
_cell_length_c 9.6646
_cell_angle_alpha 28.57
_cell_angle_beta 28.57
_cell_angle_gamma 28.57
_symmetry_space_group_name_H-M 'P 1'
_symmetry_Int_Tables_number 1
loop_
_symmetry_equiv_pos_as_xyz
'x,y,z'
loop_
_atom_site_label
_atom_site_type_symbol
_atom_site_fract_x
_atom_site_fract_y
_atom_site_fract_z
Li1 Li 0.1019 0.1019 0.1019
Li2 Li 0.8981 0.8981 0.8981
Tb1 Tb 0.5000 0.5000 0.5000
Pr1 Pr 0.3723 0.3723 0.3723
Pr2 Pr 0.6277 0.6277 0.6277
Sb1 Sb 0.2303 0.2303 0.2303
Sb2 Sb 0.7697 0.7697 0.7697
# ρ (g/cm³): 6.4
# Symmetry: R-3m, No. 166
# Formation energy from raw total energies (eV per atom): -0.597
# Electronic total energy (eV/cell): -30.4

No. 6
# Li2PrSbTe4 PBE-GGA relaxed
data_Li2PrSbTe4
_chemical_formula_sum 'Li2 Pr1 Sb1 Te4'
_cell_length_a 7.4810
_cell_length_b 4.4240
_cell_length_c 7.6917
_cell_angle_alpha 90.00
_cell_angle_beta 109.73
_cell_angle_gamma 90.00
_symmetry_space_group_name_H-M 'P 1'
_symmetry_Int_Tables_number 1
loop_
_symmetry_equiv_pos_as_xyz
'x,y,z'
loop_
_atom_site_label
_atom_site_type_symbol
_atom_site_fract_x
_atom_site_fract_y
_atom_site_fract_z
Li1 Li 0.0000 0.0000 0.0000
Li2 Li 0.0000 0.5000 0.5000
Pr1 Pr 0.5000 0.0000 0.5000
Sb1 Sb 0.5000 0.5000 0.0000
Te1 Te 0.2376 0.5000 0.2372
Te2 Te 0.2407 0.0000 0.7576
Te3 Te 0.7593 0.0000 0.2424
Te4 Te 0.7624 0.5000 0.7628
# ρ (g/cm³): 5.5
# Symmetry: P2/m, No. 10
# Formation energy from raw total energies (eV per atom): -0.856
# Electronic total energy (eV/cell): -32.1

No. 7
# LiPrYSb PBE-GGA relaxed
data_LiPrYSb
_chemical_formula_sum 'Li1 Pr1 Y1 Sb1'
_cell_length_a 5.3080
_cell_length_b 5.3080
_cell_length_c 5.3080
_cell_angle_alpha 60.00
_cell_angle_beta 60.00
_cell_angle_gamma 60.00
_symmetry_space_group_name_H-M 'P 1'
_symmetry_Int_Tables_number 1
loop_
_symmetry_equiv_pos_as_xyz
'x,y,z'
loop_
_atom_site_label
_atom_site_type_symbol
_atom_site_fract_x
_atom_site_fract_y
_atom_site_fract_z
Li1 Li 0.0000 0.0000 0.0000
Pr1 Pr 0.2500 0.2500 0.2500
Y1 Y 0.7500 0.7500 0.7500
Sb1 Sb 0.5000 0.5000 0.5000
# ρ (g/cm³): 5.6
# Symmetry: F-43m, No. 216
# Formation energy from raw total energies (eV per atom): -0.488
# Electronic total energy (eV/cell): -19.2

No. 8
# LiPr2Sc PBE-GGA relaxed
data_LiPr2Sc
_chemical_formula_sum 'Li1 Pr2 Sc1'
_cell_length_a 5.4948
_cell_length_b 5.4948
_cell_length_c 5.4948
_cell_angle_alpha 60.00
_cell_angle_beta 60.00
_cell_angle_gamma 60.00
_symmetry_space_group_name_H-M 'P 1'
_symmetry_Int_Tables_number 1
loop_
_symmetry_equiv_pos_as_xyz
'x,y,z'
loop_
_atom_site_label
_atom_site_type_symbol
_atom_site_fract_x
_atom_site_fract_y
_atom_site_fract_z
Li1 Li 0.0000 0.0000 0.0000
Pr1 Pr 0.2500 0.2500 0.2500
Pr2 Pr 0.7500 0.7500 0.7500
Sc1 Sc 0.5000 0.5000 0.5000
# ρ (g/cm³): 4.7
# Symmetry: Fm-3m, No. 225
# Formation enthalpy at 0 K (eV per atom): 0.130
# Electronic total energy (eV/cell): -17.3

No. 9
# LiPr2Sc PBE-GGA relaxed
data_LiPr2Sc
_chemical_formula_sum 'Li1 Pr2 Sc1'
_cell_length_a 12.3227
_cell_length_b 12.3227
_cell_length_c 12.3227
_cell_angle_alpha 16.18
_cell_angle_beta 16.18
_cell_angle_gamma 16.18
_symmetry_space_group_name_H-M 'P 1'
_symmetry_Int_Tables_number 1
loop_
_symmetry_equiv_pos_as_xyz
'x,y,z'
loop_
_atom_site_label
_atom_site_type_symbol
_atom_site_fract_x
_atom_site_fract_y
_atom_site_fract_z
Li1 Li 0.0000 0.0000 0.0000
Pr1 Pr 0.0912 0.0912 0.0912
Pr2 Pr 0.9088 0.9088 0.9088
Sc1 Sc 0.5000 0.5000 0.5000
# ρ (g/cm³): 4.4
# Symmetry: R-3m, No. 166
# Formation enthalpy at 0 K (eV per atom): 0.175
# Electronic total energy (eV/cell): -17.1

No. 10
# Li4PrSc PBE-GGA relaxed
data_Li4PrSc
_chemical_formula_sum 'Li4 Pr1 Sc1'
_cell_length_a 5.7774
_cell_length_b 5.7774
_cell_length_c 5.7774
_cell_angle_alpha 60.00
_cell_angle_beta 60.00
_cell_angle_gamma 60.00
_symmetry_space_group_name_H-M 'P 1'
_symmetry_Int_Tables_number 1
loop_
_symmetry_equiv_pos_as_xyz
'x,y,z'
loop_
_atom_site_label
_atom_site_type_symbol
_atom_site_fract_x
_atom_site_fract_y
_atom_site_fract_z
Li1 Li 0.1237 0.1237 0.1237
Li2 Li 0.1237 0.1237 0.6290
Li3 Li 0.1237 0.6290 0.1237
Li4 Li 0.6290 0.1237 0.1237
Pr1 Pr 0.5000 0.5000 0.5000
Sc1 Sc 0.7500 0.7500 0.7500
# ρ (g/cm³): 2.6
# Symmetry: F-43m, No. 216
# Formation enthalpy at 0 K (eV per atom): 0.131
# Electronic total energy (eV/cell): -18.0

No. 11
# LiPr2Sc PBE-GGA relaxed
data_LiPr2Sc
_chemical_formula_sum 'Li1 Pr2 Sc1'
_cell_length_a 11.4191
_cell_length_b 11.4191
_cell_length_c 11.4191
_cell_angle_alpha 17.70
_cell_angle_beta 17.70
_cell_angle_gamma 17.70
_symmetry_space_group_name_H-M 'P 1'
_symmetry_Int_Tables_number 1
loop_
_symmetry_equiv_pos_as_xyz
'x,y,z'
loop_
_atom_site_label
_atom_site_type_symbol
_atom_site_fract_x
_atom_site_fract_y
_atom_site_fract_z
Li1 Li 0.0000 0.0000 0.0000
Pr1 Pr 0.2480 0.2480 0.2480
Pr2 Pr 0.4179 0.4179 0.4179
Sc1 Sc 0.8328 0.8328 0.8328
# ρ (g/cm³): 4.6
# Symmetry: R3m, No. 160
# Formation enthalpy at 0 K (eV per atom): 0.098
# Electronic total energy (eV/cell): -17.4

No. 12
# LiPr2Sc PBE-GGA relaxed
data_LiPr2Sc
_chemical_formula_sum 'Li1 Pr2 Sc1'
_cell_length_a 3.8200
_cell_length_b 3.8200
_cell_length_c 8.1538
_cell_angle_alpha 90.00
_cell_angle_beta 90.00
_cell_angle_gamma 90.00
_symmetry_space_group_name_H-M 'P 1'
_symmetry_Int_Tables_number 1
loop_
_symmetry_equiv_pos_as_xyz
'x,y,z'
loop_
_atom_site_label
_atom_site_type_symbol
_atom_site_fract_x
_atom_site_fract_y
_atom_site_fract_z
Li1 Li 0.0000 0.0000 0.0000
Pr1 Pr 0.5000 0.5000 0.2475
Pr2 Pr 0.5000 0.5000 0.7525
Sc1 Sc 0.0000 0.0000 0.5000
# ρ (g/cm³): 4.7
# Symmetry: P4/mmm, No. 123
# Formation enthalpy at 0 K (eV per atom): 0.081
# Electronic total energy (eV/cell): -17.5